1.
This record from Alexandria describes a relaxed Mg6AgPt2 crystal. The functional is PBE.

Unit cell a=4.508 b=6.400 c=7.778 alpha=114.29 beta=107.11 gamma=90.00
Element x y z (fractional)
Mg 0.172 0.432 0.346
Mg 0.828 0.087 0.654
Mg 0.828 0.568 0.654
Mg 0.500 0.264 0.000
Mg 0.172 0.913 0.346
Mg 0.500 0.736 0.000
Ag 0.000 0.000 0.000
Pt 0.666 0.667 0.334
Pt 0.334 0.333 0.666

Values from the calculation:
Offset from the most stable computed form: 46 meV per atom
Space-group type: No. 12
Formation energy from the elements: -0.447 eV per atom
Energy: -3.17 eV/atom

2.
This record from Alexandria describes a relaxed AcVTe2 crystal. The functional is PBE.

Unit cell a=4.113 b=4.113 c=9.814 alpha=77.90 beta=77.90 gamma=60.00
Element x y z (fractional)
Ac 0.000 0.000 0.000
Te 0.114 0.114 0.657
Te 0.886 0.886 0.343
V 0.500 0.500 0.500

Values from the calculation:
Offset from the most stable computed form: 108 meV per atom
Space-group type: No. 166
Energy: -5.19 eV/atom

3.
This record from Alexandria describes a relaxed TbPm2Ir9 crystal. The functional is PBE.

Unit cell a=5.342 b=5.342 c=9.378 alpha=73.45 beta=73.45 gamma=60.00
Element x y z (fractional)
Tb 0.000 0.000 0.000
Pm 0.861 0.861 0.418
Pm 0.139 0.139 0.582
Ir 0.668 0.668 0.997
Ir 0.332 0.332 0.003
Ir 0.500 0.500 0.500
Ir 0.420 0.420 0.243
Ir 0.917 0.420 0.243
Ir 0.420 0.917 0.243
Ir 0.580 0.580 0.757
Ir 0.580 0.083 0.757
Ir 0.083 0.580 0.757

Values from the calculation:
Space-group type: No. 166
Formation energy from the elements: -0.539 eV per atom
Energy: -8.36 eV/atom

4.
This record from Alexandria describes a relaxed AcGeRhO6 crystal. The functional is PBE.

Unit cell a=5.179 b=5.179 c=10.777 alpha=90.00 beta=90.00 gamma=120.00
Element x y z (fractional)
Ac 0.000 0.000 0.000
Ac 0.000 0.000 0.500
Ge 0.667 0.333 0.250
Ge 0.333 0.667 0.750
Rh 0.333 0.667 0.250
Rh 0.667 0.333 0.750
O 0.626 0.617 0.149
O 0.991 0.374 0.149
O 0.374 0.991 0.649
O 0.009 0.626 0.851
O 0.383 0.374 0.351
O 0.991 0.617 0.351
O 0.617 0.991 0.851
O 0.626 0.009 0.351
O 0.009 0.383 0.649
O 0.383 0.009 0.149
O 0.617 0.626 0.649
O 0.374 0.383 0.851

Values from the calculation:
Space-group type: No. 163
Energy: -6.87 eV/atom

5.
This record from Alexandria describes a relaxed SmTeO crystal. The functional is PBE.

Unit cell a=3.696 b=3.696 c=11.424 alpha=99.31 beta=99.31 gamma=90.00
Element x y z (fractional)
Sm 0.066 0.066 0.133
Sm 0.934 0.934 0.867
Te 0.337 0.337 0.675
Te 0.663 0.663 0.325
O 0.500 0.000 0.000
O 0.000 0.500 0.000

Values from the calculation:
Space-group type: No. 139
Energy: -6.12 eV/atom

6.
This record from Alexandria describes a relaxed Tb2YCu crystal. The functional is PBE.

Unit cell a=6.494 b=6.876 c=9.759 alpha=90.00 beta=90.00 gamma=90.00
Element x y z (fractional)
Tb 0.184 0.691 0.060
Tb 0.316 0.191 0.440
Tb 0.816 0.309 0.560
Tb 0.684 0.809 0.940
Tb 0.816 0.309 0.940
Tb 0.684 0.809 0.560
Tb 0.184 0.691 0.440
Tb 0.316 0.191 0.060
Y 0.633 0.520 0.250
Y 0.867 0.020 0.250
Y 0.367 0.480 0.750
Y 0.133 0.980 0.750
Cu 0.054 0.404 0.250
Cu 0.446 0.904 0.250
Cu 0.946 0.596 0.750
Cu 0.554 0.096 0.750

Values from the calculation:
Offset from the most stable computed form: 0 meV per atom
Space-group type: No. 62
Formation energy from the elements: -0.105 eV per atom
Energy: -5.06 eV/atom

7.
This record from Alexandria describes a relaxed KTcO3 crystal. The functional is PBE.

Unit cell a=15.855 b=7.509 c=7.509 alpha=157.80 beta=149.31 gamma=30.69
Element x y z (fractional)
K 0.716 0.121 0.879
K 0.284 0.879 0.121
Tc 0.766 0.840 0.160
Tc 0.234 0.160 0.840
O 0.716 0.299 0.701
O 0.284 0.701 0.299
O 0.013 0.347 0.653
O 0.987 0.653 0.347
O 0.653 0.520 0.480
O 0.347 0.480 0.520

Values from the calculation:
Space-group type: No. 12
Energy: -6.75 eV/atom

8.
This record from Alexandria describes a relaxed CsLiP2O crystal. The functional is PBE.

Unit cell a=4.571 b=4.571 c=5.017 alpha=90.00 beta=90.00 gamma=90.00
Element x y z (fractional)
Cs 0.500 0.500 0.500
P 0.000 0.500 0.000
P 0.500 0.000 0.000
O 0.000 0.000 0.500
Li 0.000 0.000 0.000

Values from the calculation:
Offset from the most stable computed form: 0 meV per atom
Space-group type: No. 123
Energy: -3.21 eV/atom

9.
This record from Alexandria describes a relaxed Nd2MgSb4 crystal. The functional is PBE.

Unit cell a=4.312 b=4.312 c=11.286 alpha=90.00 beta=90.00 gamma=90.00
Element x y z (fractional)
Nd 0.500 0.000 0.729
Nd 0.000 0.500 0.271
Mg 0.500 0.500 0.000
Sb 0.500 0.000 0.169
Sb 0.000 0.500 0.831
Sb 0.500 0.500 0.500
Sb 0.000 0.000 0.500

Values from the calculation:
Space-group type: No. 115
Energy: -4.70 eV/atom

10.
This record from Alexandria describes a relaxed Nd5Ho2Tm2 crystal. The functional is PBE.

Unit cell a=12.877 b=6.207 c=10.402 alpha=107.36 beta=128.24 gamma=90.00
Element x y z (fractional)
Nd 0.253 0.746 0.903
Nd 0.747 0.844 0.097
Nd 0.150 0.246 0.903
Nd 0.850 0.344 0.097
Nd 0.329 0.096 0.288
Nd 0.671 0.808 0.712
Nd 0.459 0.596 0.288
Nd 0.541 0.308 0.712
Nd 0.074 0.792 0.500
Nd 0.926 0.292 0.500
Ho 0.000 0.885 0.000
Ho 0.500 0.385 0.000
Ho 0.194 0.268 0.500
Ho 0.806 0.768 0.500
Tm 0.185 0.584 0.271
Tm 0.815 0.313 0.729
Tm 0.586 0.084 0.271
Tm 0.414 0.813 0.729

Values from the calculation:
Offset from the most stable computed form: 154 meV per atom
Space-group type: No. 46
Formation energy from the elements: 0.174 eV per atom
Energy: -4.49 eV/atom

11.
This record from Alexandria describes a relaxed K2Zr3 crystal. The functional is PBE.

Unit cell a=16.363 b=16.363 c=16.363 alpha=11.52 beta=11.52 gamma=11.52
Element x y z (fractional)
K 0.404 0.404 0.404
K 0.596 0.596 0.596
Zr 0.000 0.000 0.000
Zr 0.809 0.809 0.809
Zr 0.191 0.191 0.191

Values from the calculation:
Space-group type: No. 166
Formation energy from the elements: 0.658 eV per atom
Energy: -4.91 eV/atom

12.
This record from Alexandria describes a relaxed MnTl2Br crystal. The functional is PBE.

Unit cell a=3.489 b=3.703 c=8.852 alpha=77.98 beta=90.00 gamma=90.00
Element x y z (fractional)
Br 0.000 0.661 0.553
Mn 0.500 0.553 0.769
Tl 0.000 0.963 0.950
Tl 0.500 0.324 0.228

Values from the calculation:
Offset from the most stable computed form: 0 meV per atom
Space-group type: No. 6
Energy: -3.91 eV/atom

Number 1: density of states at the Fermi level 3.04 states/eV/f.u.. Number 2: density of states at the Fermi level 6.48 states/eV/f.u.. Number 3: density of states at the Fermi level 11.29 states/eV/f.u.. Number 4: density of states at the Fermi level 3.01 states/eV/f.u.. Number 5: density of states at the Fermi level 1.67 states/eV/f.u.. Number 6: density of states at the Fermi level 4.66 states/eV/f.u.. Number 7: density of states at the Fermi level 0.00 states/eV/f.u.. Number 8: density of states at the Fermi level 3.92 states/eV/f.u.. Number 9: density of states at the Fermi level 2.22 states/eV/f.u.. Number 10: density of states at the Fermi level 11.63 states/eV/f.u.. Number 11: density of states at the Fermi level 6.06 states/eV/f.u.. Number 12: density of states at the Fermi level 1.57 states/eV/f.u..